(1)
First-principles (SCAN) data for MoC3Br at its PBEsol-relaxed geometry, as listed in Alexandria.

Values from the calculation:
**Size of the total moment**: 0.00 μB/f.u.

Lattice parameters (Å, degrees): 4.145 4.145 4.145 90.00 90.00 90.00
Element x y z (fractional)
C: 0.000 0.000 0.500
C: 0.500 0.000 0.000
C: 0.000 0.500 0.000
Br: 0.500 0.500 0.500
Mo: 0.000 0.000 0.000

(2)
First-principles (SCAN) data for MoC3Br at its PBEsol-relaxed geometry, as listed in Alexandria.

Values from the calculation:
**Size of the total moment**: 1.71 μB/f.u.

Lattice parameters (Å, degrees): 3.823 3.823 3.823 90.00 90.00 90.00
Last column: magnetic moment on the atom in μB.
Element x y z (fractional)
C: 0.000 0.500 0.000  -0.13
C: 0.000 0.000 0.500  -0.13
C: 0.500 0.000 0.000  -0.13
Br: 0.000 0.000 0.000  0.04
Mo: 0.500 0.500 0.500  2.20

Which of them is the most stable, and which is the least stable? (1) and (2), in that order.

(1)
First-principles (SCAN) data for MnFe2W at its PBEsol-relaxed geometry, as listed in Alexandria.

Values from the calculation:
**Size of the total moment**: 5.86 μB/f.u.

Lattice parameters (Å, degrees): 2.992 3.970 4.762 114.64 108.31 90.00
Last column: magnetic moment on the atom in μB.
Element x y z (fractional)
Fe: 0.253 0.253 0.505  2.38
Fe: 0.747 0.747 0.495  2.38
Mn: 0.000 0.500 0.000  2.04
W: 0.500 0.000 0.000  -0.79

(2)
First-principles (SCAN) data for MnFe2W at its PBEsol-relaxed geometry, as listed in Alexandria.

Values from the calculation:
**Size of the total moment**: 5.06 μB/f.u.

Lattice parameters (Å, degrees): 4.076 4.076 4.076 60.00 60.00 60.00
Last column: magnetic moment on the atom in μB.
Element x y z (fractional)
W: 0.750 0.750 0.750  -0.53
Mn: 0.500 0.500 0.500  1.18
Fe: 0.250 0.250 0.250  2.84
Fe: 0.000 0.000 0.000  1.69

Which of them is the most stable, and which is the least stable? (2) and (1), in that order.

(1)
First-principles (SCAN) data for NiIr2W at its PBEsol-relaxed geometry, as listed in Alexandria.

Values from the calculation:
**Size of the total moment**: 0.00 μB/f.u.

Lattice parameters (Å, degrees): 2.697 4.632 4.649 99.59 106.86 90.00
Element x y z (fractional)
W: 0.751 0.251 0.501
Ni: 0.501 0.503 0.002
Ir: 0.997 0.005 0.994
Ir: 0.251 0.741 0.503

(2)
First-principles (SCAN) data for NiIr2W at its PBEsol-relaxed geometry, as listed in Alexandria.

Values from the calculation:
**Size of the total moment**: 0.55 μB/f.u.

Lattice parameters (Å, degrees): 2.725 3.696 5.403 90.00 90.00 90.00
Last column: magnetic moment on the atom in μB.
Element x y z (fractional)
Ir: 0.000 0.000 0.239  0.08
Ir: 0.000 0.000 0.761  0.08
W: 0.500 0.500 0.500  -0.04
Ni: 0.500 0.500 0.000  0.47

Which of them is the most stable, and which is the least stable? (2) and (1), in that order.

(1)
First-principles (SCAN) data for Sr2ZnTe at its PBEsol-relaxed geometry, as listed in Alexandria.

Values from the calculation:
**Size of the total moment**: 0.00 μB/f.u.

Lattice parameters (Å, degrees): 5.590 5.590 5.590 60.00 60.00 60.00
Element x y z (fractional)
Te: 0.500 0.500 0.500
Sr: 0.750 0.750 0.750
Sr: 0.000 0.000 0.000
Zn: 0.250 0.250 0.250

(2)
First-principles (SCAN) data for Sr2ZnTe at its PBEsol-relaxed geometry, as listed in Alexandria.

Values from the calculation:
**Size of the total moment**: 0.00 μB/f.u.

Lattice parameters (Å, degrees): 5.571 5.571 5.571 60.00 60.00 60.00
Element x y z (fractional)
Zn: 0.500 0.500 0.500
Te: 0.000 0.000 0.000
Sr: 0.750 0.750 0.750
Sr: 0.250 0.250 0.250

Which of them is the most stable, and which is the least stable? (2) and (1), in that order.

(1)
First-principles (SCAN) data for I at its PBEsol-relaxed geometry, as listed in Alexandria.

Values from the calculation:
**Size of the total moment**: 0.00 μB/f.u.

Lattice parameters (Å, degrees): 2.984 3.471 4.350 113.51 110.06 90.00
Element x y z (fractional)
I: 0.000 0.000 0.000

(2)
First-principles (SCAN) data for I at its PBEsol-relaxed geometry, as listed in Alexandria.

Values from the calculation:
**Size of the total moment**: 0.00 μB/f.u.

Lattice parameters (Å, degrees): 4.371 4.322 9.643 90.00 90.00 120.38
Element x y z (fractional)
I: 0.326 0.000 0.377
I: 0.826 0.000 0.123
I: 0.174 0.000 0.877
I: 0.674 0.000 0.623

Which of them is the most stable, and which is the least stable? (2) and (1), in that order.

(1)
First-principles (SCAN) data for LiNiRh2 at its PBEsol-relaxed geometry, as listed in Alexandria.

Values from the calculation:
**Size of the total moment**: 0.00 μB/f.u.

Lattice parameters (Å, degrees): 3.203 3.850 3.850 90.00 90.00 90.00
Element x y z (fractional)
Rh: 0.000 0.500 0.000
Rh: 0.000 0.000 0.500
Ni: 0.500 0.000 0.000
Li: 0.500 0.500 0.500

(2)
First-principles (SCAN) data for LiNiRh2 at its PBEsol-relaxed geometry, as listed in Alexandria.

Values from the calculation:
**Size of the total moment**: 1.96 μB/f.u.

Lattice parameters (Å, degrees): 2.623 2.623 8.648 81.28 81.28 60.00
Last column: magnetic moment on the atom in μB.
Element x y z (fractional)
Ni: 0.000 0.000 0.000  1.09
Rh: 0.253 0.253 0.241  0.47
Rh: 0.747 0.747 0.759  0.47
Li: 0.500 0.500 0.500  0.00

(3)
First-principles (SCAN) data for LiNiRh2 at its PBEsol-relaxed geometry, as listed in Alexandria.

Values from the calculation:
**Size of the total moment**: 0.00 μB/f.u.

Lattice parameters (Å, degrees): 3.601 3.601 4.495 113.61 113.61 90.00
Element x y z (fractional)
Rh: 0.000 0.000 0.000
Rh: 0.750 0.250 0.500
Ni: 0.250 0.750 0.500
Li: 0.500 0.500 0.000

Which of them is the most stable, and which is the least stable? (2) and (1), in that order.

(1)
First-principles (SCAN) data for Ga2SnHg at its PBEsol-relaxed geometry, as listed in Alexandria.

Values from the calculation:
**Size of the total moment**: 0.00 μB/f.u.

Lattice parameters (Å, degrees): 4.957 4.957 4.957 60.00 60.00 60.00
Element x y z (fractional)
Hg: 0.500 0.500 0.500
Sn: 0.000 0.000 0.000
Ga: 0.750 0.750 0.750
Ga: 0.250 0.250 0.250

(2)
First-principles (SCAN) data for Ga2SnHg at its PBEsol-relaxed geometry, as listed in Alexandria.

Values from the calculation:
**Size of the total moment**: 0.00 μB/f.u.

Lattice parameters (Å, degrees): 5.890 6.212 6.212 77.01 61.70 61.70
Element x y z (fractional)
Hg: 0.000 0.000 0.000
Hg: 0.750 0.500 0.500
Sn: 0.250 0.500 0.500
Sn: 0.500 0.000 0.000
Ga: 0.120 0.005 0.505
Ga: 0.875 0.495 0.005
Ga: 0.375 0.505 0.995
Ga: 0.630 0.995 0.495

Which of them is the most stable, and which is the least stable? (2) and (1), in that order.

(1)
First-principles (SCAN) data for Pt2PbCl at its PBEsol-relaxed geometry, as listed in Alexandria.

Values from the calculation:
**Size of the total moment**: 0.00 μB/f.u.

Lattice parameters (Å, degrees): 4.717 4.717 4.717 60.00 60.00 60.00
Element x y z (fractional)
Cl: 0.500 0.500 0.500
Pb: 0.750 0.750 0.750
Pt: 0.250 0.250 0.250
Pt: 0.000 0.000 0.000

(2)
First-principles (SCAN) data for Pt2PbCl at its PBEsol-relaxed geometry, as listed in Alexandria.

Values from the calculation:
**Size of the total moment**: 0.00 μB/f.u.

Lattice parameters (Å, degrees): 3.539 3.539 6.993 90.00 90.00 90.00
Element x y z (fractional)
Pt: 0.000 0.000 0.069
Pt: 0.500 0.500 0.153
Cl: 0.000 0.000 0.519
Pb: 0.500 0.500 0.759

Which of them is the most stable, and which is the least stable? (2) and (1), in that order.

(1)
First-principles (SCAN) data for RbTl3Se at its PBEsol-relaxed geometry, as listed in Alexandria.

Values from the calculation:
**Size of the total moment**: 0.00 μB/f.u.

Lattice parameters (Å, degrees): 6.097 6.097 6.097 90.00 90.00 90.00
Element x y z (fractional)
Rb: 0.000 0.000 0.000
Se: 0.500 0.500 0.500
Tl: 0.000 0.000 0.500
Tl: 0.000 0.500 0.000
Tl: 0.500 0.000 0.000

(2)
First-principles (SCAN) data for RbTl3Se at its PBEsol-relaxed geometry, as listed in Alexandria.

Values from the calculation:
**Size of the total moment**: 0.00 μB/f.u.

Lattice parameters (Å, degrees): 5.994 5.994 5.994 90.00 90.00 90.00
Element x y z (fractional)
Tl: 0.000 0.500 0.000
Tl: 0.500 0.000 0.000
Tl: 0.000 0.000 0.500
Rb: 0.500 0.500 0.500
Se: 0.000 0.000 0.000

Which of them is the most stable, and which is the least stable? (2) and (1), in that order.

(1)
First-principles (SCAN) data for NiRh2 at its PBEsol-relaxed geometry, as listed in Alexandria.

Values from the calculation:
**Size of the total moment**: 1.39 μB/f.u.

Lattice parameters (Å, degrees): 2.652 3.639 4.497 113.87 107.15 90.00
Last column: magnetic moment on the atom in μB.
Element x y z (fractional)
Rh: 0.335 0.335 0.671  0.36
Rh: 0.665 0.665 0.329  0.36
Ni: 0.000 0.000 0.000  0.78

(2)
First-principles (SCAN) data for NiRh2 at its PBEsol-relaxed geometry, as listed in Alexandria.

Values from the calculation:
**Size of the total moment**: 1.14 μB/f.u.

Lattice parameters (Å, degrees): 2.635 2.635 12.590 90.00 90.00 120.00
Last column: magnetic moment on the atom in μB.
Element x y z (fractional)
Ni: 0.667 0.333 0.576  0.94
Ni: 0.333 0.667 0.424  0.94
Rh: 0.000 0.000 0.739  0.30
Rh: 0.000 0.000 0.261  0.30
Rh: 0.333 0.667 0.913  -0.02
Rh: 0.667 0.333 0.087  -0.02

Which of them is the most stable, and which is the least stable? (1) and (2), in that order.

(1)
First-principles (SCAN) data for LiY2Cd at its PBEsol-relaxed geometry, as listed in Alexandria.

Values from the calculation:
**Size of the total moment**: 0.15 μB/f.u.

Lattice parameters (Å, degrees): 3.672 3.672 7.381 90.00 90.00 90.00
Element x y z (fractional)
Y: 0.000 0.000 0.750
Y: 0.000 0.000 0.250
Li: 0.500 0.500 0.500
Cd: 0.500 0.500 0.000

(2)
First-principles (SCAN) data for LiY2Cd at its PBEsol-relaxed geometry, as listed in Alexandria.

Values from the calculation:
**Size of the total moment**: 0.94 μB/f.u.

Lattice parameters (Å, degrees): 3.594 5.177 6.134 114.96 107.03 90.00
Last column: magnetic moment on the atom in μB.
Element x y z (fractional)
Li: 0.219 0.719 0.438  0.00
Y: 0.987 0.987 0.973  0.25
Y: 0.767 0.267 0.534  0.33
Cd: 0.527 0.527 0.054  0.01

Which of them is the most stable, and which is the least stable? (1) and (2), in that order.

(1)
First-principles (SCAN) data for ZrFeOs2 at its PBEsol-relaxed geometry, as listed in Alexandria.

Values from the calculation:
**Size of the total moment**: 2.98 μB/f.u.

Lattice parameters (Å, degrees): 4.388 4.388 4.388 60.00 60.00 60.00
Last column: magnetic moment on the atom in μB.
Element x y z (fractional)
Os: 0.000 0.000 0.000  0.08
Os: 0.250 0.250 0.250  0.40
Zr: 0.750 0.750 0.750  -0.17
Fe: 0.500 0.500 0.500  2.70

(2)
First-principles (SCAN) data for ZrFeOs2 at its PBEsol-relaxed geometry, as listed in Alexandria.

Values from the calculation:
**Size of the total moment**: 0.00 μB/f.u.

Lattice parameters (Å, degrees): 2.816 4.560 4.882 103.54 106.76 90.00
Element x y z (fractional)
Zr: 0.500 0.000 0.000
Fe: 0.000 0.500 0.000
Os: 0.726 0.722 0.452
Os: 0.274 0.278 0.548

Which of them is the most stable, and which is the least stable? (1) and (2), in that order.

(1)
First-principles (SCAN) data for MoOs5 at its PBEsol-relaxed geometry, as listed in Alexandria.

Values from the calculation:
**Size of the total moment**: 0.00 μB/f.u.

Lattice parameters (Å, degrees): 2.738 5.132 6.449 103.14 90.00 105.47
Element x y z (fractional)
Os: 0.332 0.664 0.665
Os: 0.055 0.110 0.611
Os: 0.668 0.335 0.335
Os: 0.725 0.449 0.945
Os: 0.387 0.775 0.279
Mo: 0.000 0.000 0.999

(2)
First-principles (SCAN) data for MoOs5 at its PBEsol-relaxed geometry, as listed in Alexandria.

Values from the calculation:
**Size of the total moment**: 0.00 μB/f.u.

Lattice parameters (Å, degrees): 4.327 4.755 4.755 120.00 90.00 90.00
Element x y z (fractional)
Os: 0.000 0.000 0.663
Os: 0.000 0.337 0.337
Os: 0.000 0.663 0.000
Os: 0.500 0.667 0.333
Os: 0.500 0.333 0.667
Mo: 0.500 0.000 0.000

Which of them is the most stable, and which is the least stable? (2) and (1), in that order.

(1)
First-principles (SCAN) data for ZrTa2Cl at its PBEsol-relaxed geometry, as listed in Alexandria.

Values from the calculation:
**Size of the total moment**: 0.00 μB/f.u.

Lattice parameters (Å, degrees): 2.982 2.982 8.793 90.00 90.00 111.04
Element x y z (fractional)
Ta: 0.500 0.500 0.759
Ta: 0.000 0.000 0.998
Zr: 0.000 0.000 0.492
Cl: 0.500 0.500 0.251

(2)
First-principles (SCAN) data for ZrTa2Cl at its PBEsol-relaxed geometry, as listed in Alexandria.

Values from the calculation:
**Size of the total moment**: 0.00 μB/f.u.

Lattice parameters (Å, degrees): 3.070 5.288 5.440 119.08 106.39 90.00
Element x y z (fractional)
Ta: 0.741 0.241 0.481
Ta: 0.973 0.973 0.946
Zr: 0.527 0.527 0.053
Cl: 0.260 0.760 0.519

Which of them is the most stable, and which is the least stable? (1) and (2), in that order.